DFT (PBE-GGA) results for a relaxed structure of CoBTe. Values from VASP.

Cell and atoms, written as Quantum ESPRESSO input:
```
&SYSTEM
  ibrav = 0, nat = 3, ntyp = 3
/
ATOMIC_SPECIES
Co 58.93 Co.upf
B 10.81 B.upf
Te 127.60 Te.upf
CELL_PARAMETERS angstrom
2.886 0.000 0.000
0.000 2.886 0.000
0.000 0.000 5.403
ATOMIC_POSITIONS angstrom
Co 0.000 0.000 0.000
B 1.443 1.443 0.000
Te 0.000 0.000 2.701
```

Properties
formation energy from raw total energies = 0.96 eV per formula unit
energy relative to the lowest polymorph listed for this composition = 0.017 eV/atom
crystal system = tetragonal
N(E_F) = 1.44 states/eV/cell

---

DFT (PBE-GGA) results for a relaxed structure of NdYBeCd. Values from VASP.

Cell and atoms, written as Quantum ESPRESSO input:
```
&SYSTEM
  ibrav = 0, nat = 16, ntyp = 4
/
ATOMIC_SPECIES
Nd 144.24 Nd.upf
Y 88.91 Y.upf
Be 9.01 Be.upf
Cd 112.41 Cd.upf
CELL_PARAMETERS angstrom
7.335 0.000 0.000
0.000 7.335 0.000
0.000 0.000 7.335
ATOMIC_POSITIONS angstrom
Nd 0.000 0.000 0.000
Nd 0.000 3.668 3.668
Nd 3.668 0.000 3.668
Nd 3.668 3.668 0.000
Y 0.000 0.000 3.668
Y 0.000 3.668 0.000
Y 3.668 0.000 0.000
Y 3.668 3.668 3.668
Be 1.834 1.834 1.834
Be 1.834 5.502 5.502
Be 5.502 1.834 5.502
Be 5.502 5.502 1.834
Cd 1.834 1.834 5.502
Cd 1.834 5.502 1.834
Cd 5.502 1.834 1.834
Cd 5.502 5.502 5.502
```

Properties
ΔE_f = -0.02 eV per atom
crystal system = cubic
N(E_F) = 19.85 states/eV/cell

---

DFT (PBE-GGA) results for a relaxed structure of SrZr2As. Values from VASP.

Cell and atoms, written as Quantum ESPRESSO input:
```
&SYSTEM
  ibrav = 0, nat = 8, ntyp = 3
/
ATOMIC_SPECIES
Sr 87.62 Sr.upf
Zr 91.22 Zr.upf
As 74.92 As.upf
CELL_PARAMETERS angstrom
4.240 0.000 0.000
0.000 3.976 0.000
0.000 0.000 13.241
ATOMIC_POSITIONS angstrom
Sr 0.000 0.000 0.000
Sr 0.000 1.988 6.621
Zr 0.000 0.000 3.500
Zr 0.000 1.988 10.121
Zr 2.120 0.000 9.776
Zr 2.120 1.988 3.155
As 2.120 0.000 5.254
As 2.120 1.988 11.875
```

Properties
ΔE_f = -0.35 eV per atom
crystal system = orthorhombic
N(E_F) = 8.44 states/eV/cell

---

DFT (PBE-GGA) results for a relaxed structure of LiGeNF2. Values from VASP.

Cell and atoms, written as Quantum ESPRESSO input:
```
&SYSTEM
  ibrav = 0, nat = 5, ntyp = 4
/
ATOMIC_SPECIES
Li 6.94 Li.upf
Ge 72.64 Ge.upf
N 14.01 N.upf
F 19.00 F.upf
CELL_PARAMETERS angstrom
3.509 0.000 0.000
0.000 3.509 0.000
0.000 0.000 4.283
ATOMIC_POSITIONS angstrom
Li 0.000 0.000 0.000
Ge 1.755 1.755 2.141
N 0.000 0.000 2.141
F 0.000 1.755 0.000
F 1.755 0.000 0.000
```

Properties
formation energy from raw total energies = -3.47 eV per formula unit
energy relative to the lowest polymorph listed for this composition = 0.490 eV/atom
crystal system = tetragonal
N(E_F) = 0.71 states/eV/cell

---

DFT (PBE-GGA) results for a relaxed structure of RbRuS. Values from VASP.

Cell and atoms, written as Quantum ESPRESSO input:
```
&SYSTEM
  ibrav = 0, nat = 6, ntyp = 3
/
ATOMIC_SPECIES
Rb 85.47 Rb.upf
Ru 101.07 Ru.upf
S 32.06 S.upf
CELL_PARAMETERS angstrom
3.990 0.000 0.000
0.000 3.990 0.000
0.000 0.000 10.793
ATOMIC_POSITIONS angstrom
Rb 0.998 0.998 2.219
Rb 2.993 2.993 8.574
Ru 0.998 2.993 5.397
Ru 2.993 0.998 5.397
S 0.998 0.998 6.624
S 2.993 2.993 4.169
```

Properties
formation energy from raw total energies = -1.38 eV per formula unit
crystal system = tetragonal
N(E_F) = 2.68 states/eV/cell

---

DFT (PBE-GGA) results for a relaxed structure of BaAg2P. Values from VASP.

Cell and atoms, written as Quantum ESPRESSO input:
```
&SYSTEM
  ibrav = 0, nat = 4, ntyp = 3
/
ATOMIC_SPECIES
Ba 137.33 Ba.upf
Ag 107.87 Ag.upf
P 30.97 P.upf
CELL_PARAMETERS angstrom
4.495 0.000 0.000
0.000 4.516 0.000
-0.063 0.000 5.048
ATOMIC_POSITIONS angstrom
Ba 0.000 0.000 0.000
Ag -0.032 2.258 2.524
Ag 2.216 0.000 2.524
P 2.247 2.258 0.000
```

Properties
ΔE_f = 0.04 eV per atom
crystal system = monoclinic
N(E_F) = 2.55 states/eV/cell

---

DFT (PBE-GGA) results for a relaxed structure of Er2Ga3Ni4Pd. Values from VASP.

Cell and atoms, written as Quantum ESPRESSO input:
```
&SYSTEM
  ibrav = 0, nat = 10, ntyp = 4
/
ATOMIC_SPECIES
Er 167.26 Er.upf
Ga 69.72 Ga.upf
Ni 58.69 Ni.upf
Pd 106.42 Pd.upf
CELL_PARAMETERS angstrom
3.802 0.000 0.000
0.000 3.802 0.000
0.000 0.000 11.146
ATOMIC_POSITIONS angstrom
Er 0.000 1.901 2.670
Er 1.901 0.000 8.476
Ga 0.000 0.000 0.000
Ga 0.000 1.901 7.032
Ga 1.901 0.000 4.114
Ni 0.000 0.000 5.573
Ni 0.000 1.901 9.400
Ni 1.901 0.000 1.746
Ni 1.901 1.901 5.573
Pd 1.901 1.901 0.000
```

Properties
ΔE_f = -0.56 eV per atom
crystal system = tetragonal
N(E_F) = 5.70 states/eV/cell

---

DFT (PBE-GGA) results for a relaxed structure of Tl2CoCl4. Values from VASP.

Cell and atoms, written as Quantum ESPRESSO input:
```
&SYSTEM
  ibrav = 0, nat = 28, ntyp = 3
/
ATOMIC_SPECIES
Tl 204.38 Tl.upf
Co 58.93 Co.upf
Cl 35.45 Cl.upf
CELL_PARAMETERS angstrom
9.178 0.000 0.000
0.000 7.287 0.000
0.000 0.000 13.029
ATOMIC_POSITIONS angstrom
Tl 0.114 1.822 2.321
Tl 1.171 5.465 5.888
Tl 3.418 1.822 12.402
Tl 4.475 5.465 8.836
Tl 4.703 1.822 4.193
Tl 5.760 5.465 0.627
Tl 8.008 1.822 7.142
Tl 9.064 5.465 10.708
Co 2.019 5.465 0.957
Co 2.570 1.822 7.472
Co 6.608 5.465 5.557
Co 7.159 1.822 12.072
Cl 0.225 1.822 12.089
Cl 1.658 1.822 5.394
Cl 1.747 3.667 8.462
Cl 1.747 7.262 8.462
Cl 2.842 0.024 1.947
Cl 2.842 3.619 1.947
Cl 2.931 5.465 11.909
Cl 4.364 5.465 5.574
Cl 4.814 1.822 7.455
Cl 6.247 1.822 1.121
Cl 6.336 3.667 11.082
Cl 6.336 7.262 11.082
Cl 7.431 0.024 4.568
Cl 7.431 3.619 4.568
Cl 7.520 5.465 7.635
Cl 8.953 5.465 0.940
```

Properties
formation energy from raw total energies = -5.89 eV per formula unit
crystal system = orthorhombic

---

DFT (PBE-GGA) results for a relaxed structure of LiPH2Se. Values from VASP.

Cell and atoms, written as Quantum ESPRESSO input:
```
&SYSTEM
  ibrav = 0, nat = 5, ntyp = 4
/
ATOMIC_SPECIES
Li 6.94 Li.upf
P 30.97 P.upf
H 1.01 H.upf
Se 78.96 Se.upf
CELL_PARAMETERS angstrom
3.509 0.000 0.000
0.000 3.509 0.000
0.000 0.000 5.860
ATOMIC_POSITIONS angstrom
Li 0.000 0.000 0.000
P 0.000 0.000 2.930
H 0.000 1.755 0.000
H 1.755 0.000 0.000
Se 1.755 1.755 2.930
```

Properties
final energy = -2.95 eV/atom
crystal system = tetragonal
N(E_F) = 1.47 states/eV/cell

---

DFT (PBE-GGA) results for a relaxed structure of ReMoAs2. Values from VASP.

Cell and atoms, written as Quantum ESPRESSO input:
```
&SYSTEM
  ibrav = 0, nat = 8, ntyp = 3
/
ATOMIC_SPECIES
Re 186.21 Re.upf
Mo 95.94 Mo.upf
As 74.92 As.upf
CELL_PARAMETERS angstrom
4.077 0.000 0.000
0.000 4.077 0.000
0.000 0.000 7.597
ATOMIC_POSITIONS angstrom
Re 0.000 0.000 0.000
Re 2.038 2.038 3.799
Mo 0.000 2.038 1.899
Mo 2.038 0.000 5.698
As 0.000 0.000 3.799
As 0.000 2.038 5.698
As 2.038 0.000 1.899
As 2.038 2.038 0.000
```

Properties
ΔE_f = 0.40 eV per atom
energy relative to the lowest polymorph listed for this composition = 0.355 eV/atom
crystal system = tetragonal
N(E_F) = 6.57 states/eV/cell

---

DFT (PBE-GGA) results for a relaxed structure of FeCo2Ag. Values from VASP.

Cell and atoms, written as Quantum ESPRESSO input:
```
&SYSTEM
  ibrav = 0, nat = 4, ntyp = 3
/
ATOMIC_SPECIES
Fe 55.84 Fe.upf
Co 58.93 Co.upf
Ag 107.87 Ag.upf
CELL_PARAMETERS angstrom
2.659 0.000 0.000
0.000 2.659 0.000
0.000 0.000 7.378
ATOMIC_POSITIONS angstrom
Fe 0.000 0.000 0.000
Co 0.000 0.000 4.186
Co 1.329 1.329 5.698
Ag 1.329 1.329 2.113
```

Properties
ΔE_f = 0.23 eV per atom
energy relative to the lowest polymorph listed for this composition = 0.020 eV/atom
crystal system = tetragonal
N(E_F) = 4.85 states/eV/cell

---

DFT (PBE-GGA) results for a relaxed structure of LaSnTe3. Values from VASP.

Cell and atoms, written as Quantum ESPRESSO input:
```
&SYSTEM
  ibrav = 0, nat = 10, ntyp = 3
/
ATOMIC_SPECIES
La 138.91 La.upf
Sn 118.71 Sn.upf
Te 127.60 Te.upf
CELL_PARAMETERS angstrom
9.347 -2.362 0.000
9.347 2.362 0.000
-2.223 0.000 8.234
ATOMIC_POSITIONS angstrom
La 3.596 0.000 2.047
La 12.875 0.000 6.187
Sn 7.883 0.000 2.458
Sn 8.588 0.000 5.776
Te 0.269 0.000 1.401
Te 1.754 0.000 4.723
Te 6.262 0.000 0.084
Te 10.209 0.000 8.150
Te 14.717 0.000 3.510
Te 16.202 0.000 6.833
```

Properties
formation energy from raw total energies = -4.32 eV per formula unit
energy relative to the lowest polymorph listed for this composition = 0.000 eV/atom
crystal system = monoclinic
N(E_F) = 0.16 states/eV/cell

---

DFT (PBE-GGA) results for a relaxed structure of W3SeBr7. Values from VASP.

Cell and atoms, written as Quantum ESPRESSO input:
```
&SYSTEM
  ibrav = 0, nat = 11, ntyp = 3
/
ATOMIC_SPECIES
W 183.84 W.upf
Se 78.96 Se.upf
Br 79.90 Br.upf
CELL_PARAMETERS angstrom
6.023 -3.523 0.000
6.023 3.523 0.000
-5.743 0.000 7.242
ATOMIC_POSITIONS angstrom
W 0.000 0.000 0.000
W 2.592 2.095 7.209
W 2.592 -2.095 7.209
Se -4.185 0.000 5.297
Br -1.156 1.745 5.834
Br 3.458 0.000 1.724
Br 6.549 1.779 1.785
Br 1.803 0.000 5.792
Br -1.156 -1.745 5.834
Br 9.558 0.000 1.314
Br 6.549 -1.779 1.785
```

Properties
formation energy from raw total energies = -4.43 eV per formula unit
crystal system = monoclinic

---

DFT (PBE-GGA) results for a relaxed structure of K2GeH6. Values from VASP.

Cell and atoms, written as Quantum ESPRESSO input:
```
&SYSTEM
  ibrav = 0, nat = 9, ntyp = 3
/
ATOMIC_SPECIES
K 39.10 K.upf
Ge 72.64 Ge.upf
H 1.01 H.upf
CELL_PARAMETERS angstrom
0.000 3.937 3.937
3.937 0.000 3.937
3.937 3.937 0.000
ATOMIC_POSITIONS angstrom
K 1.969 1.969 1.969
K 5.906 5.906 5.906
Ge 0.000 0.000 0.000
H 3.937 3.937 1.702
H 3.937 1.702 3.937
H 6.172 3.937 3.937
H 1.702 3.937 3.937
H 3.937 6.172 3.937
H 3.937 3.937 6.172
```

Properties
energy relative to the lowest polymorph listed for this composition = 0.000 eV/atom
crystal system = cubic

---

DFT (PBE-GGA) results for a relaxed structure of Sb3Au5Se12. Values from VASP.

Cell and atoms, written as Quantum ESPRESSO input:
```
&SYSTEM
  ibrav = 0, nat = 80, ntyp = 3
/
ATOMIC_SPECIES
Sb 121.76 Sb.upf
Au 196.97 Au.upf
Se 78.96 Se.upf
CELL_PARAMETERS angstrom
-8.065 8.065 8.065
8.065 -8.065 8.065
8.065 8.065 -8.065
ATOMIC_POSITIONS angstrom
Sb 4.033 2.016 0.000
Sb 8.065 4.033 -2.016
Sb 2.016 0.000 4.033
Sb 10.081 0.000 4.033
Sb 0.000 4.033 2.016
Sb 4.033 -2.016 8.065
Sb 4.033 10.081 0.000
Sb 8.065 4.033 6.049
Sb -2.016 8.065 4.033
Sb 6.049 8.065 4.033
Sb 0.000 4.033 10.081
Sb 4.033 6.049 8.065
Au 0.000 0.000 0.000
Au 4.033 4.033 -4.033
Au 4.033 -4.033 4.033
Au 8.065 0.000 0.000
Au 12.098 2.016 0.000
Au 8.065 -4.033 6.049
Au 6.049 8.065 -4.033
Au 6.049 0.000 4.033
Au 4.033 6.049 0.000
Au 8.065 4.033 2.016
Au -4.033 4.033 4.033
Au 0.000 8.065 0.000
Au 0.000 0.000 8.065
Au 4.033 4.033 4.033
Au 0.000 4.033 6.049
Au 4.033 2.016 8.065
Au 2.016 8.065 4.033
Au 2.016 0.000 12.098
Au 0.000 12.098 2.016
Au -4.033 6.049 8.065
Se 2.434 -0.309 0.977
Se 9.663 5.009 -4.341
Se 10.500 0.309 0.977
Se 9.663 -3.056 4.341
Se 7.757 -0.977 2.434
Se 12.406 -1.598 3.056
Se 0.977 2.434 -0.309
Se 11.121 3.724 -1.598
Se 5.009 4.341 -1.598
Se 7.088 2.434 0.309
Se -0.309 0.977 2.434
Se 4.341 -1.598 5.009
Se 7.757 7.088 -2.434
Se 4.341 1.598 3.056
Se 5.009 -4.341 9.663
Se 7.088 -2.434 7.757
Se 3.056 4.341 1.598
Se 9.042 5.631 0.309
Se 4.341 9.663 -3.056
Se 7.757 0.977 5.631
Se 2.434 7.757 -0.977
Se 9.663 3.056 3.724
Se 1.598 3.056 4.341
Se 2.434 0.309 7.088
Se 5.631 7.757 0.977
Se 6.467 5.009 3.724
Se -1.598 5.009 4.341
Se 5.631 0.309 9.042
Se 0.309 7.088 2.434
Se 3.724 -1.598 11.121
Se -0.977 2.434 7.757
Se 5.009 3.724 6.467
Se 0.977 10.500 0.309
Se 3.056 12.406 -1.598
Se 3.724 6.467 5.009
Se 0.309 0.977 10.500
Se 3.724 9.663 3.056
Se 8.374 7.088 5.631
Se 0.977 5.631 7.757
Se 3.056 3.724 9.663
Se -3.056 4.341 9.663
Se 7.088 5.631 8.374
Se -4.341 9.663 5.009
Se 0.309 9.042 5.631
Se -1.598 11.121 3.724
Se -2.434 7.757 7.088
Se -1.598 3.056 12.406
Se 5.631 8.374 7.088
```

Properties
formation energy from raw total energies = 1.65 eV per formula unit
crystal system = cubic
N(E_F) = 70.05 states/eV/cell

---

DFT (PBE-GGA) results for a relaxed structure of V3NiC. Values from VASP.

Cell and atoms, written as Quantum ESPRESSO input:
```
&SYSTEM
  ibrav = 0, nat = 5, ntyp = 3
/
ATOMIC_SPECIES
V 50.94 V.upf
Ni 58.69 Ni.upf
C 12.01 C.upf
CELL_PARAMETERS angstrom
3.919 0.000 0.000
0.000 3.919 0.000
0.000 0.000 3.919
ATOMIC_POSITIONS angstrom
V 0.000 0.000 1.960
V 0.000 1.960 0.000
V 1.960 0.000 0.000
Ni 1.960 1.960 1.960
C 0.000 0.000 0.000
```

Properties
ΔE_f = -0.17 eV per atom
energy relative to the lowest polymorph listed for this composition = 0.110 eV/atom
crystal system = cubic
N(E_F) = 5.70 states/eV/cell

---

Number 1: M_tot 0.00 μB per formula unit. Number 2: M_tot 0.00 μB per formula unit. Number 3: M_tot 0.00 μB per formula unit. Number 4: M_tot 1.22 μB per formula unit. Number 5: M_tot 0.00 μB per formula unit. Number 6: M_tot 0.00 μB per formula unit. Number 7: M_tot 0.00 μB per formula unit. Number 8: M_tot 3.00 μB per formula unit. Number 9: M_tot 0.00 μB per formula unit. Number 10: M_tot 0.00 μB per formula unit. Number 11: M_tot 6.26 μB per formula unit. Number 12: M_tot 0.00 μB per formula unit. Number 13: M_tot 1.07 μB per formula unit. Number 14: M_tot 0.00 μB per formula unit. Number 15: M_tot 0.00 μB per formula unit. Number 16: M_tot 0.75 μB per formula unit.